1.
A plane-wave DFT calculation with PBE-GGA was carried out for a geometry-optimized SbOsWI2 structure.

**Electronic total energy**: -4.356 eV per atom
**Magnetic moment**: 2.75 μB/f.u.
**Space group**: P4/mmm, No. 123
**Energy relative to the elements, uncorrected**: 1.925 eV per atom
**Excess energy over the best structure of this formula in the dataset**: 0.129 eV/atom

abc: 5.363 5.363 5.351
angles: 90.00 90.00 90.00
Each line ends with the local moment (μB).
Fractional positions:
Sb  0.000  0.000  0.500  -0.01
Os  0.500  0.500  0.500  3.00
W  0.000  0.000  0.000  -0.64
I  0.000  0.500  0.000  0.04
I  0.500  0.000  0.000  0.04

2.
A plane-wave DFT calculation with PBE-GGA was carried out for a geometry-optimized LiDy5Te8 structure.

**Electronic total energy**: -4.886 eV per atom
**Magnetic moment**: 0.00 μB/f.u.
**Space group**: F-43m, No. 216
**Energy relative to the elements, uncorrected**: -1.310 eV per atom

abc: 8.978 8.978 8.978
angles: 60.00 60.00 60.00
Fractional positions:
Te  0.379  0.379  0.379
Dy  0.619  0.143  0.619
Dy  0.000  0.000  0.000
Li  0.250  0.250  0.250
Te  0.866  0.866  0.866
Te  0.379  0.864  0.379
Dy  0.619  0.619  0.619
Te  0.866  0.402  0.866
Dy  0.619  0.619  0.143
Te  0.379  0.379  0.864
Dy  0.143  0.619  0.619
Te  0.864  0.379  0.379
Te  0.402  0.866  0.866
Te  0.866  0.866  0.402

3.
A plane-wave DFT calculation with PBE-GGA was carried out for a geometry-optimized MnNb2InN structure.

**Electronic total energy**: -8.425 eV per atom
**Magnetic moment**: 2.89 μB/f.u.
**Space group**: P4/mmm, No. 123
**Energy relative to the elements, uncorrected**: -0.350 eV per atom

abc: 4.384 4.384 3.927
angles: 90.00 90.00 90.00
Each line ends with the local moment (μB).
Fractional positions:
Nb  0.500  0.000  0.000  -0.03
N  0.000  0.000  0.000  0.01
In  0.500  0.500  0.500  0.01
Mn  0.000  0.000  0.500  2.82
Nb  0.000  0.500  0.000  -0.03

4.
A plane-wave DFT calculation with PBE-GGA was carried out for a geometry-optimized LuZnCdGa structure.

**Electronic total energy**: -2.710 eV per atom
**E_form**: -276.2 meV/atom
**Magnetic moment**: 0.00 μB/f.u.
**Space group**: F-43m, No. 216

abc: 4.832 4.832 4.832
angles: 60.00 60.00 60.00
Fractional positions:
Cd  0.750  0.750  0.750
Ga  0.000  0.000  0.000
Zn  0.500  0.500  0.500
Lu  0.250  0.250  0.250

5.
A plane-wave DFT calculation with PBE-GGA was carried out for a geometry-optimized BaLa2Os structure.

**Electronic total energy**: -5.326 eV per atom
**E_form**: 425.8 meV/atom
**Magnetic moment**: 0.00 μB/f.u.
**Space group**: Fm-3m, No. 225
**Excess energy over the best structure of this formula in the dataset**: 0.475 eV/atom

abc: 5.415 5.415 5.415
angles: 60.00 60.00 60.00
Fractional positions:
Os  0.500  0.500  0.500
La  0.250  0.250  0.250
La  0.750  0.750  0.750
Ba  0.000  0.000  0.000

6.
A plane-wave DFT calculation with PBE-GGA was carried out for a geometry-optimized LiTlCu2 structure.

**Electronic total energy**: -2.992 eV per atom
**E_form**: 126.0 meV/atom
**Magnetic moment**: 0.00 μB/f.u.
**Space group**: P2/m, No. 10

abc: 4.419 2.866 5.123
angles: 83.06 90.00 90.00
Fractional positions:
Cu  0.000  0.483  0.462
Li  0.500  0.250  0.250
Tl  0.500  0.750  0.750
Cu  0.000  0.017  0.038

7.
A plane-wave DFT calculation with PBE-GGA was carried out for a geometry-optimized LiAlCr structure.

**Electronic total energy**: -4.904 eV per atom
**E_form**: 189.4 meV/atom
**Magnetic moment**: 0.00 μB/f.u.
**Space group**: I4mm, No. 107
**Excess energy over the best structure of this formula in the dataset**: 0.026 eV/atom

abc: 6.658 6.658 6.658
angles: 157.89 157.89 31.47
Fractional positions:
Li  0.666  0.666  0.000
Cr  0.342  0.342  0.000
Al  0.992  0.992  0.000

8.
A plane-wave DFT calculation with PBE-GGA was carried out for a geometry-optimized AsPbI structure.

**Electronic total energy**: -3.536 eV per atom
**Magnetic moment**: 0.00 μB/f.u.
**Space group**: P1, No. 1
**Energy relative to the elements, uncorrected**: -0.233 eV per atom
**Excess energy over the best structure of this formula in the dataset**: 0.025 eV/atom

abc: 4.218 4.897 12.254
angles: 82.42 89.79 64.44
Fractional positions:
As  0.007  0.087  0.034
As  0.484  0.135  0.914
Pb  0.314  0.468  0.157
Pb  0.746  0.614  0.791
I  0.708  0.676  0.321
I  0.076  0.955  0.627

9.
A plane-wave DFT calculation with PBE-GGA was carried out for a geometry-optimized Rb2CePaN4 structure.

**Electronic total energy**: -7.184 eV per atom
**Magnetic moment**: 0.00 μB/f.u.
**Space group**: P2/m, No. 10
**Energy relative to the elements, uncorrected**: -0.851 eV per atom

abc: 3.731 6.116 6.990
angles: 104.91 90.00 90.00
Fractional positions:
Rb  0.500  0.000  0.500
N  0.500  0.221  0.159
Pa  0.000  0.000  0.000
N  0.500  0.779  0.841
Ce  0.500  0.500  0.000
N  0.000  0.255  0.840
Rb  0.000  0.500  0.500
N  0.000  0.745  0.160

10.
A plane-wave DFT calculation with PBE-GGA was carried out for a geometry-optimized Pm2ZrCo structure.

**Electronic total energy**: -5.855 eV per atom
**E_form**: 433.5 meV/atom
**Magnetic moment**: 0.00 μB/f.u.
**Space group**: R-3m, No. 166

abc: 3.418 3.418 10.415
angles: 80.56 80.56 60.00
Fractional positions:
Co  0.500  0.500  0.500
Zr  0.000  0.000  0.000
Pm  0.894  0.894  0.317
Pm  0.106  0.106  0.683

11.
A plane-wave DFT calculation with PBE-GGA was carried out for a geometry-optimized Tl3IrW structure.

**Electronic total energy**: -4.172 eV per atom
**E_form**: 1610.4 meV/atom
**Magnetic moment**: 0.65 μB/f.u.
**Space group**: Pm-3m, No. 221
**Excess energy over the best structure of this formula in the dataset**: 0.000 eV/atom

abc: 5.199 5.199 5.199
angles: 90.00 90.00 90.00
Each line ends with the local moment (μB).
Fractional positions:
Tl  0.500  0.000  0.000  0.00
Ir  0.000  0.000  0.000  0.10
Tl  0.000  0.500  0.000  0.01
Tl  0.000  0.000  0.500  0.01
W  0.500  0.500  0.500  -0.61

12.
A plane-wave DFT calculation with PBE-GGA was carried out for a geometry-optimized Li2SmZn2Ag2 structure.

**Electronic total energy**: -2.613 eV per atom
**E_form**: -213.6 meV/atom
**Magnetic moment**: 0.00 μB/f.u.
**Space group**: C2/m, No. 12

abc: 4.570 4.587 7.936
angles: 106.88 90.00 119.87
Fractional positions:
Sm  0.000  0.000  0.000
Zn  0.422  0.845  0.265
Zn  0.578  0.155  0.735
Ag  0.743  0.487  0.230
Li  0.141  0.282  0.422
Ag  0.257  0.513  0.770
Li  0.859  0.718  0.578

13.
A plane-wave DFT calculation with PBE-GGA was carried out for a geometry-optimized Ce2BeCd structure.

**Electronic total energy**: -3.621 eV per atom
**E_form**: 506.6 meV/atom
**Magnetic moment**: 0.00 μB/f.u.
**Space group**: R-3m, No. 166
**Excess energy over the best structure of this formula in the dataset**: 0.484 eV/atom

abc: 2.952 2.952 11.968
angles: 82.92 82.92 60.00
Fractional positions:
Ce  0.917  0.917  0.249
Be  0.000  0.000  0.000
Cd  0.500  0.500  0.500
Ce  0.083  0.083  0.751

14.
A plane-wave DFT calculation with PBE-GGA was carried out for a geometry-optimized Ba2ReRu structure.

**Electronic total energy**: -5.439 eV per atom
**E_form**: 953.3 meV/atom
**Magnetic moment**: 1.85 μB/f.u.
**Space group**: I-42d, No. 122
**Excess energy over the best structure of this formula in the dataset**: 0.660 eV/atom

abc: 11.858 11.858 8.708
angles: 47.09 47.09 90.00
Each line ends with the local moment (μB).
Fractional positions:
Ba  0.447  0.125  0.250  -0.01
Ba  0.303  0.625  0.250  -0.01
Ba  0.375  0.553  0.750  -0.01
Re  0.750  0.250  0.500  1.37
Ru  0.500  0.500  0.000  0.27
Re  0.000  0.000  0.000  1.37
Ba  0.875  0.697  0.750  0.00
Ru  0.250  0.750  0.500  0.26

15.
A plane-wave DFT calculation with PBE-GGA was carried out for a geometry-optimized K2ZnOsO6 structure.

**Electronic total energy**: -5.597 eV per atom
**Magnetic moment**: 0.00 μB/f.u.
**Space group**: P-3m1, No. 164
**Energy relative to the elements, uncorrected**: -1.152 eV per atom

abc: 5.254 6.040 6.040
angles: 120.00 90.00 90.00
Fractional positions:
O  0.214  0.855  0.145
O  0.786  0.145  0.290
O  0.786  0.145  0.855
O  0.786  0.710  0.855
K  0.207  0.333  0.667
O  0.214  0.855  0.710
Os  0.000  0.000  0.000
O  0.214  0.290  0.145
K  0.793  0.667  0.333
Zn  0.500  0.000  0.000

16.
A plane-wave DFT calculation with PBE-GGA was carried out for a geometry-optimized CdTcNi2 structure.

**Electronic total energy**: -5.654 eV per atom
**E_form**: 57.3 meV/atom
**Magnetic moment**: 0.00 μB/f.u.
**Space group**: P4/mmm, No. 123

abc: 2.717 2.717 7.541
angles: 90.00 90.00 90.00
Fractional positions:
Tc  0.500  0.500  0.250
Ni  0.000  0.000  0.021
Cd  0.500  0.500  0.750
Ni  0.000  0.000  0.479

17.
A plane-wave DFT calculation with PBE-GGA was carried out for a geometry-optimized ZnTeCl2 structure.

**Electronic total energy**: -2.155 eV per atom
**Magnetic moment**: 0.00 μB/f.u.
**Space group**: P4mm, No. 99
**Energy relative to the elements, uncorrected**: -0.127 eV per atom
**Excess energy over the best structure of this formula in the dataset**: 0.496 eV/atom

abc: 3.376 3.376 8.558
angles: 90.00 90.00 90.00
Fractional positions:
Zn  0.500  0.500  0.763
Cl  0.500  0.500  0.306
Cl  0.000  0.000  0.911
Te  0.000  0.000  0.520

18.
A plane-wave DFT calculation with PBE-GGA was carried out for a geometry-optimized RhAuBr2 structure.

**Electronic total energy**: -3.468 eV per atom
**Magnetic moment**: 0.00 μB/f.u.
**Space group**: Cm, No. 8
**Energy relative to the elements, uncorrected**: 0.025 eV per atom
**Excess energy over the best structure of this formula in the dataset**: 0.000 eV/atom

abc: 5.583 5.583 6.266
angles: 72.63 72.63 37.70
Fractional positions:
Rh  0.426  0.426  0.409
Au  0.218  0.218  0.277
Br  0.022  0.022  0.132
Br  0.835  0.835  0.682

19.
A plane-wave DFT calculation with PBE-GGA was carried out for a geometry-optimized ZnCo2Ni8 structure.

**Electronic total energy**: -5.652 eV per atom
**E_form**: -39.7 meV/atom
**Magnetic moment**: 7.83 μB/f.u.
**Space group**: C2/m, No. 12
**Excess energy over the best structure of this formula in the dataset**: 0.000 eV/atom

abc: 3.539 5.581 6.633
angles: 75.65 74.53 90.00
Each line ends with the local moment (μB).
Fractional positions:
Ni  0.639  0.189  0.691  0.59
Ni  0.360  0.812  0.248  0.59
Ni  0.092  0.460  0.784  0.63
Ni  0.183  0.911  0.602  0.61
Ni  0.547  0.723  0.875  0.50
Ni  0.816  0.090  0.337  0.61
Ni  0.452  0.277  0.065  0.50
Co  0.728  0.636  0.513  1.76
Co  0.271  0.365  0.427  1.76
Zn  0.000  0.000  0.970  -0.03
Ni  0.907  0.540  0.155  0.63

20.
A plane-wave DFT calculation with PBE-GGA was carried out for a geometry-optimized Y3Te2Se2 structure.

**Electronic total energy**: -6.249 eV per atom
**Magnetic moment**: 0.00 μB/f.u.
**Space group**: C2/m, No. 12
**Energy relative to the elements, uncorrected**: -1.586 eV per atom
**Excess energy over the best structure of this formula in the dataset**: 0.076 eV/atom

abc: 4.114 6.271 8.556
angles: 93.23 103.91 90.00
Fractional positions:
Y  0.000  0.000  0.000
Se  0.569  0.749  0.138
Te  0.826  0.757  0.652
Se  0.431  0.251  0.862
Y  0.814  0.259  0.628
Y  0.186  0.741  0.372
Te  0.174  0.243  0.348